No. 1
A plane-wave DFT calculation with PBE-GGA was carried out for crystalline Pr3P2S at its relaxed geometry.

Cell: 4.1769 4.1769 10.2362 Å, 90.00 90.00 120.00°
Space group P-3m1 (No. 164)
Asymmetric unit:
Pr1 0.0000 0.0000 0.0000 (multiplicity 1)
Pr2 0.3333 0.6667 0.3264 (multiplicity 2)
P1 0.3333 0.6667 0.8302 (multiplicity 2)
S1 0.0000 0.0000 0.5000 (multiplicity 1)

Values from the calculation:
The crystal system is trigonal. The total DFT energy (no corrections) is -6.6218 eV/atom. The magnetic moment comes out at 0.00 μB per cell. The value obtained for the polymorph energy (0 for the lowest one) is 8 meV/atom.

No. 2
A plane-wave DFT calculation with PBE-GGA was carried out for crystalline LuMgInCo at its relaxed geometry.

Cell: 6.677 6.677 6.677 Å, 90.00 90.00 90.00°
Space group F-43m (No. 216)
Asymmetric unit:
Lu1 0.000 0.000 0.000 (multiplicity 4)
Mg1 0.250 0.250 0.250 (multiplicity 4)
In1 0.000 0.000 0.500 (multiplicity 4)
Co1 0.250 0.250 0.750 (multiplicity 4)

Values from the calculation:
The crystal system is cubic. The total DFT energy (no corrections) is -4.0420 eV/atom. The magnetic moment comes out at 2.45 μB per cell. The value obtained for the polymorph energy (0 for the lowest one) is 0 meV/atom.

No. 3
A plane-wave DFT calculation with PBE-GGA was carried out for crystalline YEr2Tl3 at its relaxed geometry.

Cell: 3.634 3.634 12.119 Å, 90.00 90.00 90.00°
Space group P4/mmm (No. 123)
Asymmetric unit:
Y1 0.000 0.000 0.000 (multiplicity 1)
Er1 0.000 0.000 0.334 (multiplicity 2)
Tl1 0.500 0.500 0.169 (multiplicity 2)
Tl2 0.500 0.500 0.500 (multiplicity 1)

Values from the calculation:
The crystal system is tetragonal. The total DFT energy (no corrections) is -4.1058 eV/atom. The magnetic moment comes out at 0.05 μB per cell.

No. 4
A plane-wave DFT calculation with PBE-GGA was carried out for crystalline LuBePb2 at its relaxed geometry.

Cell: 7.399 7.399 7.399 Å, 90.00 90.00 90.00°
Space group F-43m (No. 216)
Asymmetric unit:
Lu1 0.000 0.000 0.000 (multiplicity 4)
Be1 0.250 0.250 0.750 (multiplicity 4)
Pb1 0.000 0.000 0.500 (multiplicity 4)
Pb2 0.250 0.250 0.250 (multiplicity 4)

Values from the calculation:
The crystal system is cubic. The total DFT energy (no corrections) is -3.5528 eV/atom. The magnetic moment comes out at 0.01 μB per cell.

No. 5
A plane-wave DFT calculation with PBE-GGA was carried out for crystalline NpScHg at its relaxed geometry.

Cell: 6.968 6.968 6.968 Å, 90.00 90.00 90.00°
Space group F-43m (No. 216)
Asymmetric unit:
Np1 0.000 0.000 0.000 (multiplicity 4)
Sc1 0.250 0.250 0.250 (multiplicity 4)
Hg1 0.250 0.250 0.750 (multiplicity 4)

Values from the calculation:
The crystal system is cubic. The total DFT energy (no corrections) is -5.6752 eV/atom. Its formation energy is 0.790 eV per atom. The magnetic moment comes out at 19.78 μB per cell. The value obtained for the polymorph energy (0 for the lowest one) is 127 meV/atom.

No. 6
A plane-wave DFT calculation with PBE-GGA was carried out for crystalline Pr4CI3Br2 at its relaxed geometry.

Cell: 18.831 4.089 8.929 Å, 90.00 102.44 90.00°
Space group C2/m (No. 12)
Asymmetric unit:
Pr1 0.003 0.000 0.305 (multiplicity 4)
Pr2 0.138 0.500 0.565 (multiplicity 4)
C1 0.000 0.500 0.500 (multiplicity 2)
I1 0.000 0.500 0.000 (multiplicity 2)
I2 0.168 0.000 0.843 (multiplicity 4)
Br1 0.169 0.000 0.336 (multiplicity 4)

Values from the calculation:
The crystal system is monoclinic. The total DFT energy (no corrections) is -4.8728 eV/atom. The magnetic moment comes out at 0.76 μB per cell. The value obtained for the polymorph energy (0 for the lowest one) is 6 meV/atom.

No. 7
A plane-wave DFT calculation with PBE-GGA was carried out for crystalline KCuTcSeS2 at its relaxed geometry.

Cell: 3.616 14.831 9.620 Å, 90.00 90.00 90.00°
Space group Cmcm (No. 63)
Asymmetric unit:
K1 0.000 0.237 0.250 (multiplicity 4)
Cu1 0.000 0.465 0.750 (multiplicity 4)
Tc1 0.000 0.000 0.000 (multiplicity 4)
Se1 0.000 0.074 0.750 (multiplicity 4)
S1 0.000 0.391 0.547 (multiplicity 8)

Values from the calculation:
The crystal system is orthorhombic. The total DFT energy (no corrections) is -4.9834 eV/atom. The magnetic moment comes out at 9.26 μB per cell.

No. 8
A plane-wave DFT calculation with PBE-GGA was carried out for crystalline Na4GaGeIr2 at its relaxed geometry.

Cell: 4.601 4.601 6.504 Å, 90.00 90.00 90.00°
Space group P-4m2 (No. 115)
Asymmetric unit:
Na1 0.000 0.000 0.000 (multiplicity 1)
Na2 0.000 0.500 0.748 (multiplicity 2)
Na3 0.500 0.500 0.500 (multiplicity 1)
Ga1 0.000 0.000 0.500 (multiplicity 1)
Ge1 0.500 0.500 0.000 (multiplicity 1)
Ir1 0.000 0.500 0.242 (multiplicity 2)

Values from the calculation:
The crystal system is tetragonal. The total DFT energy (no corrections) is -3.7003 eV/atom. The magnetic moment comes out at 0.00 μB per cell.

No. 9
A plane-wave DFT calculation with PBE-GGA was carried out for crystalline CsTbAuSe3 at its relaxed geometry.

Cell: 4.111 16.286 10.760 Å, 90.00 90.00 90.00°
Space group Cmcm (No. 63)
Asymmetric unit:
Cs1 0.000 0.250 0.250 (multiplicity 4)
Tb1 0.000 0.000 0.000 (multiplicity 4)
Au1 0.000 0.464 0.750 (multiplicity 4)
Se1 0.000 0.067 0.750 (multiplicity 4)
Se2 0.000 0.378 0.547 (multiplicity 8)

Values from the calculation:
The crystal system is orthorhombic. The total DFT energy (no corrections) is -4.3297 eV/atom. The magnetic moment comes out at 0.09 μB per cell.

No. 10
A plane-wave DFT calculation with PBE-GGA was carried out for crystalline RbNi3S5 at its relaxed geometry.

Cell: 5.4092 5.4092 6.9510 Å, 90.00 90.00 120.00°
Space group P6/mmm (No. 191)
Asymmetric unit:
Rb1 0.0000 0.0000 0.0000 (multiplicity 1)
Ni1 0.0000 0.5000 0.5000 (multiplicity 3)
S1 0.0000 0.0000 0.5000 (multiplicity 1)
S2 0.3333 0.6667 0.2763 (multiplicity 4)

Values from the calculation:
The crystal system is hexagonal. The total DFT energy (no corrections) is -4.6353 eV/atom. The magnetic moment comes out at 0.07 μB per cell.

No. 11
A plane-wave DFT calculation with PBE-GGA was carried out for crystalline Al3Co at its relaxed geometry.

Cell: 4.234 4.234 3.008 Å, 90.00 90.00 90.00°
Space group P4/mmm (No. 123)
Asymmetric unit:
Al1 0.000 0.000 0.000 (multiplicity 1)
Al2 0.000 0.500 0.500 (multiplicity 2)
Co1 0.500 0.500 0.000 (multiplicity 1)

Values from the calculation:
The crystal system is tetragonal. The total DFT energy (no corrections) is -4.7120 eV/atom. The magnetic moment comes out at 0.01 μB per cell.

No. 12
A plane-wave DFT calculation with PBE-GGA was carried out for crystalline Zn at its relaxed geometry.

Cell: 2.715 4.651 4.593 Å, 90.00 90.00 90.00°
Space group Cmcm (No. 63)
Asymmetric unit:
Zn1 0.000 0.167 0.250 (multiplicity 4)

Values from the calculation:
The crystal system is orthorhombic. The total DFT energy (no corrections) is -1.2539 eV/atom. Its formation energy is 0.011 eV per atom. The value obtained for the polymorph energy (0 for the lowest one) is 11 meV/atom.

For the records above, the corresponding mass density values read 5.5; 8.3; 10.8; 9.8; 9.5; 5.5; 4.4; 7.5; 6.7; 4.0; 4.3; 7.5 g/cm³.